Density functional theory data (GGA-PBE) for crystalline HoTeNO at its relaxed geometry.

The polymorph energy (0 for the lowest one) is 40.3 kJ/mol of atoms. The total energy comes out at -6.34 eV/atom.

Cell and atoms, written as CIF:
```
data_HoTeNO
_space_group_name_H-M_alt 'P c a 21'
_space_group_IT_number 29
_space_group_name_Hall 'P 2c -2ac'
_cell_length_a 6.2985
_cell_length_b 7.0742
_cell_length_c 6.3828
_cell_angle_alpha 90.00
_cell_angle_beta 90.00
_cell_angle_gamma 90.00
loop_
_atom_site_label
_atom_site_type_symbol
_atom_site_fract_x
_atom_site_fract_y
_atom_site_fract_z
Ho1 Ho 0.1007 0.1827 0.0000
Te1 Te 0.0918 0.7265 0.9491
N1 N 0.0741 0.1004 0.6507
O1 O 0.0796 0.4775 0.0701
```


Density functional theory data (GGA-PBE) for crystalline HoTeNO at its relaxed geometry.

The polymorph energy (0 for the lowest one) is 43.2 kJ/mol of atoms. The total energy comes out at -6.31 eV/atom.

Cell and atoms, written as CIF:
```
data_HoTeNO
_space_group_name_H-M_alt 'P m c 21'
_space_group_IT_number 26
_space_group_name_Hall 'P 2c -2'
_cell_length_a 3.6317
_cell_length_b 6.7406
_cell_length_c 6.5470
_cell_angle_alpha 90.00
_cell_angle_beta 90.00
_cell_angle_gamma 90.00
loop_
_atom_site_label
_atom_site_type_symbol
_atom_site_fract_x
_atom_site_fract_y
_atom_site_fract_z
Ho1 Ho 0.0000 0.1812 0.0000
Te1 Te 0.5000 0.2228 0.5014
N1 N 0.0000 0.1279 0.3452
O1 O 0.5000 0.3013 0.8824
```